1.
The following is a DFT calculation (PBE-GGA) of an optimized crystal structure of Rb2LiMgF6.

a = 8.349 Å, b = 8.349 Å, c = 8.349 Å
α = 90.00°, β = 90.00°, γ = 90.00°
Space group Fm-3m (No. 225)
Inequivalent atoms, fractional coordinates:
Rb: 0.250 0.250 0.250 (multiplicity 8)
Li: 0.000 0.000 0.000 (multiplicity 4)
Mg: 0.000 0.000 0.500 (multiplicity 4)
F: 0.000 0.000 0.258 (multiplicity 24)

## Properties
For the density of states at the Fermi level, the calculation gives 1.00 states/eV per atom. For the magnetization, the calculation gives 4.0 μB/cell. As for the formation energy from raw total energies: -2749 meV/atom. The calculated volume is 14.55 A^3/atom.

2.
The following is a DFT calculation (PBE-GGA) of an optimized crystal structure of Nb3InFe.

a = 4.631 Å, b = 4.631 Å, c = 4.631 Å
α = 90.00°, β = 90.00°, γ = 90.00°
Space group Pm-3m (No. 221)
Inequivalent atoms, fractional coordinates:
Nb: 0.000 0.000 0.500 (multiplicity 3)
In: 0.500 0.500 0.500 (multiplicity 1)
Fe: 0.000 0.000 0.000 (multiplicity 1)

## Properties
For the density of states at the Fermi level, the calculation gives 0.96 states/eV per atom. For the magnetization, the calculation gives 0.0 μB/cell. The calculated volume is 19.86 A^3/atom. The calculation puts the relative energy among the computed polymorphs at 0 meV per atom. The calculation puts the formation energy at 482 meV/atom.

Copy entry 2 word for word.
The following is a DFT calculation (PBE-GGA) of an optimized crystal structure of Nb3InFe.

a = 4.631 Å, b = 4.631 Å, c = 4.631 Å
α = 90.00°, β = 90.00°, γ = 90.00°
Space group Pm-3m (No. 221)
Inequivalent atoms, fractional coordinates:
Nb: 0.000 0.000 0.500 (multiplicity 3)
In: 0.500 0.500 0.500 (multiplicity 1)
Fe: 0.000 0.000 0.000 (multiplicity 1)

## Properties
For the density of states at the Fermi level, the calculation gives 0.96 states/eV per atom. For the magnetization, the calculation gives 0.0 μB/cell. The calculated volume is 19.86 A^3/atom. The calculation puts the relative energy among the computed polymorphs at 0 meV per atom. The calculation puts the formation energy at 482 meV/atom.